No. 1
The following is a DFT calculation (GGA-PBE) of a relaxed structure of CoSiOs2.

ΔE_f (raw)	-4.94	kJ/mol of atoms
SG	P4/mmm
N(E_F)	4.578	states/eV/cell

Cell and atoms, written as extended XYZ:
```
4
Lattice="2.890 0.000 0.000 0.000 4.187 0.000 0.000 0.000 4.187" Properties=species:S:1:pos:R:3 pbc="T T T"
Os 0.000 0.000 0.000
Os 0.000 2.094 2.094
Co 1.445 0.000 2.094
Si 1.445 2.094 0.000
```


No. 2
The following is a DFT calculation (GGA-PBE) of a relaxed structure of NbCu3Te.

excess energy over the best structure of this formula in the dataset	0.000	eV/f.u.
ΔE_f (raw)	122.60	kJ/mol of atoms
SG	Pm-3m
N(E_F)	3.612	states/eV/cell

Cell and atoms, written as extended XYZ:
```
5
Lattice="4.690 0.000 0.000 0.000 4.690 0.000 0.000 0.000 4.690" Properties=species:S:1:pos:R:3 pbc="T T T"
Cu 0.000 0.000 2.345
Cu 2.345 0.000 0.000
Cu 0.000 2.345 0.000
Te 0.000 0.000 0.000
Nb 2.345 2.345 2.345
```


No. 3
The following is a DFT calculation (GGA-PBE) of a relaxed structure of Tb2Y2Tm7.

excess energy over the best structure of this formula in the dataset	0.000	eV/f.u.
SG	P-1
energy relative to the elements	0.094	eV/atom
N(E_F)	18.250	states/eV/cell

Cell and atoms, written as extended XYZ:
```
11
Lattice="-4.032 -6.326 -4.417 4.982 -2.121 -3.399 -0.797 -5.389 4.011" Properties=species:S:1:pos:R:3 pbc="T T T"
Y 2.515 -2.594 -1.123
Y -2.361 -11.243 -2.683
Tb 1.693 -5.873 -1.501
Tb -1.540 -7.964 -2.304
Tm 1.343 -7.102 -4.633
Tm 0.752 -10.447 -3.555
Tm 0.000 0.000 0.000
Tm -1.189 -6.735 0.827
Tm 1.091 -9.006 -0.363
Tm -0.598 -3.390 -0.250
Tm -0.937 -4.830 -3.442
```


No. 4
The following is a DFT calculation (GGA-PBE) of a relaxed structure of TaAlBr.

excess energy over the best structure of this formula in the dataset	0.208	eV/f.u.
ΔE_f (raw)	-17.44	kJ/mol of atoms
SG	P2_1/m
N(E_F)	2.252	states/eV/cell

Cell and atoms, written as extended XYZ:
```
6
Lattice="-1.573 1.676 -4.219 -3.010 -0.675 0.854 -0.447 8.194 4.901" Properties=species:S:1:pos:R:3 pbc="T T T"
Al -2.586 6.503 -0.979
Al -2.443 2.692 2.515
Ta -1.763 3.864 -0.162
Ta -3.266 5.332 1.698
Br -2.802 1.344 0.183
Br -2.227 7.851 1.353
```


No. 5
The following is a DFT calculation (GGA-PBE) of a relaxed structure of CdHBr2.

uncorrected energy	-15.621	eV/cell
SG	Cmcm
N(E_F)	0.000	states/eV/cell

Cell and atoms, written as extended XYZ:
```
8
Lattice="-2.622 -2.390 -1.852 4.087 -1.447 -3.919 4.070 -6.168 6.521" Properties=species:S:1:pos:R:3 pbc="T T T"
Br 3.348 -6.533 -0.634
Br 2.187 -3.472 1.383
Br 2.248 -3.598 -2.864
Br 3.287 -6.407 3.614
Cd 1.472 -6.259 1.667
Cd 4.062 -3.746 -0.917
H 1.264 -1.009 -0.488
H 4.270 -8.996 1.237
```


No. 6
The following is a DFT calculation (GGA-PBE) of a relaxed structure of PdPt2F.

excess energy over the best structure of this formula in the dataset	0.293	eV/f.u.
ΔE_f (raw)	26.22	kJ/mol of atoms
SG	I-42d
N(E_F)	14.768	states/eV/cell

Cell and atoms, written as extended XYZ:
```
8
Lattice="-6.463 -1.099 1.860 0.377 -6.350 -2.442 -2.218 -4.582 2.067" Properties=species:S:1:pos:R:3 pbc="T T T"
Pd -5.862 -4.703 1.818
Pd 0.000 0.000 0.000
Pt -6.999 -9.770 1.112
Pt -1.314 -5.284 -0.723
Pt -3.935 -6.414 1.261
Pt -4.359 -2.594 1.320
F -2.442 -7.329 -0.333
F -3.043 -3.725 -0.291
```


No. 7
The following is a DFT calculation (GGA-PBE) of a relaxed structure of PuInBiO.

ΔE_f (raw)	-106.04	kJ/mol of atoms
SG	I4mm
N(E_F)	8.116	states/eV/cell

Cell and atoms, written as extended XYZ:
```
4
Lattice="-3.080 0.978 0.558 -0.611 -2.817 1.563 4.476 4.715 6.809" Properties=species:S:1:pos:R:3 pbc="T T T"
Pu 0.223 2.066 7.249
Bi -1.596 -0.559 1.808
O 1.909 2.755 5.711
In 1.097 1.583 3.282
```


No. 8
The following is a DFT calculation (GGA-PBE) of a relaxed structure of Dy2Ti3Si4.

ΔE_f (raw)	-78.18	kJ/mol of atoms
SG	P2_1/c
N(E_F)	16.741	states/eV/cell

Cell and atoms, written as extended XYZ:
```
18
Lattice="-5.867 3.543 -0.078 -1.332 -6.663 -1.888 -1.109 -1.689 6.740" Properties=species:S:1:pos:R:3 pbc="T T T"
Dy -3.948 0.189 1.831
Dy -0.834 -1.308 0.774
Dy -7.475 -3.500 3.999
Dy -4.361 -4.997 2.943
Si -4.952 -3.936 -1.508
Si -2.484 -6.417 1.363
Si -5.067 -2.177 3.214
Si -2.410 -4.369 4.934
Si -5.898 -0.439 -0.160
Si -3.241 -2.632 1.560
Si -3.357 -0.872 6.282
Si -5.824 1.609 3.411
Ti -2.556 -1.968 4.056
Ti -3.600 -1.560 -0.983
Ti -5.653 -0.445 5.007
Ti -5.752 -2.840 0.718
Ti -1.220 -4.176 2.426
Ti -2.656 -4.364 -0.233
```


No. 9
The following is a DFT calculation (GGA-PBE) of a relaxed structure of CsNaI3.

ΔE_f (raw)	-92.23	kJ/mol of atoms
SG	Pm-3m
N(E_F)	9.872	states/eV/cell

Cell and atoms, written as extended XYZ:
```
5
Lattice="-4.146 -4.482 -0.974 -0.271 -1.072 6.084 -4.579 4.122 0.523" Properties=species:S:1:pos:R:3 pbc="T T T"
Na 0.000 0.000 0.000
I -0.135 -0.536 3.042
I -2.073 -2.241 -0.487
I -2.289 2.061 0.261
Cs -4.498 -0.716 2.816
```


No. 10
The following is a DFT calculation (GGA-PBE) of a relaxed structure of BePdSe.

ΔE_f (raw)	-34.05	kJ/mol of atoms
SG	P1
N(E_F)	0.000	states/eV/cell

Cell and atoms, written as extended XYZ:
```
6
Lattice="-0.962 -1.528 -3.926 2.591 -1.686 1.542 -4.071 -5.260 5.010" Properties=species:S:1:pos:R:3 pbc="T T T"
Be -2.480 -3.532 1.994
Be -0.158 -4.050 1.406
Se -3.832 -5.179 2.478
Se -0.719 -1.984 0.739
Pd -1.451 -4.326 -0.592
Pd -1.517 -5.843 1.731
```


No. 11
The following is a DFT calculation (GGA-PBE) of a relaxed structure of LiTlW2.

excess energy over the best structure of this formula in the dataset	0.962	eV/f.u.
SG	P2/m
energy relative to the elements	0.670	eV/atom
N(E_F)	2.211	states/eV/cell

Cell and atoms, written as extended XYZ:
```
4
Lattice="-0.404 4.436 2.173 0.614 -1.173 2.510 4.939 0.574 -0.254" Properties=species:S:1:pos:R:3 pbc="T T T"
W 2.722 -0.333 1.187
W 0.669 -1.139 2.451
Tl 3.963 1.769 2.778
Li 1.186 2.068 1.650
```


No. 12
The following is a DFT calculation (GGA-PBE) of a relaxed structure of Sr2Li2ZnGa.

SG	Ibam
energy relative to the elements	-0.154	eV/atom
N(E_F)	8.931	states/eV/cell

Cell and atoms, written as extended XYZ:
```
12
Lattice="6.866 0.000 0.000 0.000 6.866 0.000 -3.433 -3.433 7.284" Properties=species:S:1:pos:R:3 pbc="T T T"
Sr 0.000 -1.677 5.030
Sr 3.433 5.110 2.254
Sr 3.433 1.677 5.030
Sr 0.000 1.756 2.254
Li 0.000 1.697 6.047
Li 3.433 1.736 1.237
Li 0.000 5.130 1.237
Li 3.433 -1.697 6.047
Zn 5.150 0.000 0.000
Zn 1.717 0.000 0.000
Ga 5.150 3.433 0.000
Ga 1.717 3.433 0.000
```


No. 13
The following is a DFT calculation (GGA-PBE) of a relaxed structure of Cs2TcSnC.

SG	P4/mmm
energy relative to the elements	1.769	eV/atom
N(E_F)	2.360	states/eV/cell

Cell and atoms, written as extended XYZ:
```
5
Lattice="6.000 0.000 0.000 0.000 6.000 0.000 0.000 0.000 5.165" Properties=species:S:1:pos:R:3 pbc="T T T"
Cs 3.000 0.000 0.000
Cs 0.000 3.000 0.000
Sn 0.000 0.000 2.582
Tc 0.000 0.000 0.000
C 3.000 3.000 2.582
```


No. 14
The following is a DFT calculation (GGA-PBE) of a relaxed structure of CaFe2Re.

SG	I-42d
energy relative to the elements	0.868	eV/atom
N(E_F)	8.355	states/eV/cell

Cell and atoms, written as extended XYZ:
```
8
Lattice="-1.506 -5.400 4.099 -1.063 -3.959 -5.606 1.516 -5.450 -0.740" Properties=species:S:1:pos:R:3 pbc="T T T"
Re -0.637 -7.765 1.303
Re 0.000 0.000 0.000
Fe -0.380 -4.174 -3.433
Fe 0.240 -7.350 -0.769
Fe -0.789 -5.570 1.933
Fe -1.178 -12.525 -2.224
Ca -1.285 -4.679 -0.753
Ca -0.416 -7.045 -3.549
```


No. 15
The following is a DFT calculation (GGA-PBE) of a relaxed structure of Fe2SbAu.

ΔE_f (raw)	17.45	kJ/mol of atoms
SG	P4mm
N(E_F)	2.344	states/eV/cell

Cell and atoms, written as extended XYZ:
```
4
Lattice="3.140 0.000 0.000 0.000 3.140 0.000 0.000 0.000 6.870" Properties=species:S:1:pos:R:3 pbc="T T T"
Fe 0.000 0.000 0.244
Fe 1.570 1.570 1.438
Sb 0.000 0.000 3.107
Au 1.570 1.570 5.517
```


No. 16
The following is a DFT calculation (GGA-PBE) of a relaxed structure of LaBe2P.

SG	Cm
energy relative to the elements	-0.385	eV/atom
N(E_F)	0.827	states/eV/cell

Cell and atoms, written as extended XYZ:
```
4
Lattice="-3.111 -1.438 -1.929 -3.176 -1.554 1.721 -4.019 3.914 0.053" Properties=species:S:1:pos:R:3 pbc="T T T"
P -2.161 -0.383 -0.051
Be -3.984 3.702 0.047
Be -8.212 1.371 -0.103
La -5.122 0.606 -0.072
```


No. 17
The following is a DFT calculation (GGA-PBE) of a relaxed structure of LaPmHo2.

excess energy over the best structure of this formula in the dataset	0.350	eV/f.u.
SG	Fm-3m
energy relative to the elements	0.102	eV/atom
N(E_F)	7.462	states/eV/cell

Cell and atoms, written as extended XYZ:
```
4
Lattice="5.757 0.000 0.000 2.878 4.985 0.000 2.878 1.662 4.700" Properties=species:S:1:pos:R:3 pbc="T T T"
Pm 0.000 0.000 0.000
Ho 8.635 4.985 3.525
Ho 2.878 1.662 1.175
La 5.757 3.324 2.350
```


No. 18
The following is a DFT calculation (GGA-PBE) of a relaxed structure of Y3TiAg.

excess energy over the best structure of this formula in the dataset	0.289	eV/f.u.
SG	Pm-3m
energy relative to the elements	0.609	eV/atom
N(E_F)	12.903	states/eV/cell

Cell and atoms, written as extended XYZ:
```
5
Lattice="-0.336 1.312 -5.327 1.988 -4.945 -1.343 -5.113 -2.009 -0.172" Properties=species:S:1:pos:R:3 pbc="T T T"
Y -0.168 0.656 -2.664
Y 0.994 -2.473 -0.672
Y -2.557 -1.005 -0.086
Ag 0.000 0.000 0.000
Ti -1.731 -2.821 -3.421
```


No. 19
The following is a DFT calculation (GGA-PBE) of a relaxed structure of TaBeC3.

excess energy over the best structure of this formula in the dataset	0.000	eV/f.u.
SG	Pm-3m
energy relative to the elements	1.690	eV/atom
N(E_F)	2.955	states/eV/cell

Cell and atoms, written as extended XYZ:
```
5
Lattice="-2.787 0.041 -2.150 2.089 -0.786 -2.722 -0.512 -3.431 0.598" Properties=species:S:1:pos:R:3 pbc="T T T"
C -1.393 0.021 -1.075
C -0.256 -1.715 0.299
C 1.044 -0.393 -1.361
Ta -0.605 -2.088 -2.137
Be 0.000 0.000 0.000
```


No. 20
The following is a DFT calculation (GGA-PBE) of a relaxed structure of Dy3GaI3.

ΔE_f (raw)	-97.57	kJ/mol of atoms
SG	I4_132
N(E_F)	10.942	states/eV/cell

Cell and atoms, written as extended XYZ:
```
28
Lattice="-2.442 -0.339 -10.258 -8.457 -2.664 5.718 3.048 9.768 2.569" Properties=species:S:1:pos:R:3 pbc="T T T"
I -5.967 4.990 -1.457
I -0.402 6.645 0.879
I -4.852 2.999 5.577
I -4.728 0.925 -1.519
I -7.281 4.465 2.490
I -3.426 3.496 1.604
I -6.150 0.376 2.257
I -2.013 6.038 4.702
I 0.896 9.033 3.911
I -8.686 2.051 -0.713
I -5.987 6.907 5.718
I -4.446 7.557 1.812
Dy -3.060 5.865 -0.619
Dy -1.764 6.366 -4.061
Dy -3.513 -0.724 -3.911
Dy 0.715 4.585 -1.226
Dy -1.764 1.906 -0.547
Dy -1.914 0.032 -7.683
Dy -0.741 2.344 -4.422
Dy -8.689 -2.162 -5.748
Dy -7.507 0.016 -2.985
Dy -5.730 0.661 -6.546
Dy -2.949 3.594 -7.554
Dy -4.254 3.227 -3.615
Ga -6.060 -1.586 -4.835
Ga -3.184 1.522 -5.622
Ga -1.811 4.049 -2.415
Ga 0.762 2.442 0.642
```


No. 21
The following is a DFT calculation (GGA-PBE) of a relaxed structure of Ca2LaRh.

excess energy over the best structure of this formula in the dataset	1.428	eV/f.u.
SG	I-4m2
energy relative to the elements	-0.054	eV/atom
N(E_F)	4.834	states/eV/cell

Cell and atoms, written as extended XYZ:
```
4
Lattice="-1.485 -1.685 4.825 4.968 -1.684 0.909 -0.862 5.057 -1.419" Properties=species:S:1:pos:R:3 pbc="T T T"
Ca 2.923 0.844 1.179
Ca 4.105 3.373 -0.509
Rh -0.303 0.844 3.137
La 0.879 3.372 1.449
```


No. 22
The following is a DFT calculation (GGA-PBE) of a relaxed structure of Y6Ho2Cd.

excess energy over the best structure of this formula in the dataset	0.694	eV/f.u.
SG	Pnnm
energy relative to the elements	-0.002	eV/atom
N(E_F)	33.495	states/eV/cell

Cell and atoms, written as extended XYZ:
```
18
Lattice="5.357 0.000 0.260 0.000 10.171 0.000 -0.497 0.000 10.207" Properties=species:S:1:pos:R:3 pbc="T T T"
Y 4.948 9.815 8.642
Y 2.518 5.442 3.409
Y 5.086 6.903 5.781
Y 2.368 1.310 6.510
Y -0.227 3.268 4.686
Y 2.203 1.817 9.920
Y 4.921 6.395 9.190
Y 2.656 8.354 0.547
Y 2.341 4.729 7.058
Y -0.061 3.776 1.276
Y -0.088 0.356 1.824
Y 2.491 8.861 3.957
Cd 2.678 5.086 0.130
Cd -0.249 0.000 5.104
Ho 5.248 7.218 2.461
Ho 2.539 2.132 3.032
Ho -0.388 2.953 8.006
Ho 2.321 8.039 7.434
```


No. 23
The following is a DFT calculation (GGA-PBE) of a relaxed structure of ZrTc2Br.

excess energy over the best structure of this formula in the dataset	0.904	eV/f.u.
ΔE_f (raw)	18.59	kJ/mol of atoms
SG	R3m
N(E_F)	3.280	states/eV/cell

Cell and atoms, written as extended XYZ:
```
4
Lattice="-8.540 -2.337 -2.141 -8.267 -3.774 0.632 -9.065 -0.744 0.508" Properties=species:S:1:pos:R:3 pbc="T T T"
Tc -25.541 -6.768 -0.987
Tc -6.626 -1.756 -0.256
Br -19.565 -5.185 -0.756
Zr -12.946 -3.431 -0.501
```


No. 24
The following is a DFT calculation (GGA-PBE) of a relaxed structure of LiPr2YTe5.

ΔE_f (raw)	-129.53	kJ/mol of atoms
SG	Cmc2_1

Cell and atoms, written as extended XYZ:
```
18
Lattice="4.432 0.000 0.000 -2.216 9.425 0.000 0.000 0.000 13.278" Properties=species:S:1:pos:R:3 pbc="T T T"
Li 0.000 8.327 6.152
Li 2.216 1.099 12.791
Te 2.216 8.525 7.584
Te 2.216 3.563 11.228
Te 0.000 5.862 4.589
Te 0.000 0.900 0.945
Te 0.000 9.395 10.391
Te 2.216 0.030 3.752
Te 2.216 4.097 2.222
Te 2.216 2.614 6.612
Te 0.000 5.329 8.861
Te 0.000 6.811 13.251
Pr 2.216 7.427 2.461
Pr 0.000 2.384 4.009
Pr 2.216 7.041 10.648
Pr 0.000 1.998 9.100
Y 0.000 3.730 0.118
Y 2.216 5.695 6.757
```


Volume, respectively: 50.7 103.1 343.5 145.6 225.7 122.6 98.1 321.8 236.4 110.2 69.5 343.4 186.0 140.1 67.7 66.9 134.9 166.0 43.6 903.9 106.9 557.4 76.0 554.7 Å³ per cell.